Record 1
Material: SmPtI
Method: DFT, PBE-GGA
State: optimized geometry

Results
M_tot	0.00	μB/f.u.
formation energy (no corrections)	-908	meV per atom

abc: 7.739 7.833 7.739
angles: 73.30 65.28 106.70
Sites, in units of the cell vectors:
Pt: 0.326 0.218 0.646
I: 0.832 0.768 0.342
Sm: 0.680 0.438 0.202
I: 0.313 0.732 0.360
Sm: 0.048 0.938 0.570
Sm: 0.360 0.562 0.758
I: 0.908 0.268 0.418
Pt: 0.136 0.782 0.893
Sm: 0.492 0.062 0.890
I: 0.890 0.232 0.937
Pt: 0.604 0.718 0.924
Pt: 0.357 0.282 0.114

---

Record 2
Material: YTlZn2
Method: DFT, PBE-GGA
State: optimized geometry

Results
E_form	-0.1099	eV per atom
distance to the lowest polymorph of the same formula	0.109	eV/atom
M_tot	0.33	μB/f.u.
Fermi-level density of states	2.5	states/eV/cell

abc: 3.696 3.697 6.663
angles: 90.00 90.00 90.00
Each line ends with the local moment (μB).
Sites, in units of the cell vectors:
Tl: 0.500 0.500 0.250  0.01
Y: 0.500 0.500 0.750  0.16
Zn: 0.000 0.000 0.996  0.01
Zn: 0.000 0.000 0.504  0.01

---

Record 3
Material: Er3InRh2
Method: DFT, PBE-GGA
State: optimized geometry

Results
E_form	-0.7678	eV per atom
M_tot	0.00	μB/f.u.
Fermi-level density of states	4.0	states/eV/cell

abc: 3.340 3.340 11.792
angles: 90.00 90.00 90.00
Sites, in units of the cell vectors:
Rh: 0.500 0.500 0.849
Er: 0.000 0.000 0.000
Rh: 0.500 0.500 0.151
In: 0.500 0.500 0.500
Er: 0.000 0.000 0.295
Er: 0.000 0.000 0.705

---

Record 4
Material: Nd4Te2SeS
Method: DFT, PBE-GGA
State: optimized geometry

Results
M_tot	0.00	μB/f.u.
Fermi-level density of states	3.3	states/eV/cell
formation energy (no corrections)	-1689	meV per atom

abc: 4.273 7.485 7.593
angles: 108.86 90.00 90.00
Sites, in units of the cell vectors:
Nd: 0.500 0.751 0.787
Nd: 0.000 0.727 0.210
Nd: 0.500 0.249 0.213
Te: 0.000 0.500 0.500
Nd: 0.000 0.273 0.790
Te: 0.500 0.000 0.500
S: 0.500 0.500 0.000
Se: 0.000 0.000 0.000

---

Record 5
Material: TaIn2P
Method: DFT, PBE-GGA
State: optimized geometry

Results
E_form	0.5963	eV per atom
M_tot	0.00	μB/f.u.
Fermi-level density of states	3.4	states/eV/cell

abc: 4.814 4.814 4.814
angles: 60.00 60.00 60.00
Sites, in units of the cell vectors:
In: 0.000 0.000 0.000
Ta: 0.750 0.750 0.750
In: 0.250 0.250 0.250
P: 0.500 0.500 0.500

---

Record 6
Material: Ho3BeBr3
Method: DFT, PBE-GGA
State: optimized geometry

Results
M_tot	0.00	μB/f.u.
Fermi-level density of states	17.6	states/eV/cell
formation energy (no corrections)	-1044	meV per atom

abc: 9.885 9.885 9.885
angles: 109.47 109.47 109.47
Sites, in units of the cell vectors:
Be: 0.000 0.000 0.250
Ho: 0.250 0.015 0.485
Br: 0.008 0.250 0.992
Ho: 0.735 0.265 0.750
Be: 0.750 0.250 0.250
Ho: 0.515 0.485 0.750
Ho: 0.985 0.750 0.015
Ho: 0.515 0.030 0.265
Br: 0.008 0.758 0.517
Ho: 0.985 0.235 0.470
Ho: 0.765 0.750 0.235
Br: 0.258 0.517 0.508
Br: 0.492 0.983 0.742
Br: 0.750 0.758 0.742
Br: 0.492 0.508 0.250
Ho: 0.250 0.235 0.265
Br: 0.242 0.992 0.983
Ho: 0.765 0.015 0.030
Br: 0.242 0.250 0.758
Br: 0.750 0.992 0.508
Ho: 0.530 0.265 0.015
Ho: 0.970 0.485 0.235
Be: 0.750 0.500 0.000
Br: 0.258 0.742 0.250
Ho: 0.735 0.470 0.485
Be: 0.500 0.250 0.500
Br: 0.017 0.508 0.758
Br: 0.483 0.742 0.992